The following is a GGA-PBEsol calculation of an optimized crystal structure of Be2Hg, from Alexandria via LeMat-Bulk.

Unit cell a=4.699 b=4.699 c=5.997 alpha=95.07 beta=95.07 gamma=36.45
Fractional coordinates of all 6 atoms:
Be1 0.000 0.000 0.000
Be2 0.189 0.189 0.419
Be3 0.584 0.584 0.722
Be4 0.859 0.859 0.637
Hg1 0.264 0.264 0.950
Hg2 0.462 0.462 0.345

Computed properties:
Energy of formation in eV per atom: 0.3790
Space group: Cm, No. 8
Total magnetization in μB per formula unit: 0.00
VASP energy in eV/atom: -2.477